(1)
The following is a DFT calculation (PBE-GGA) of crystalline CoMo2Au at its relaxed geometry.

For the total magnetization, the calculation gives 0.85 Bohr magnetons per cell. For the density of states at the Fermi level, the calculation gives 3.99 states/eV/cell. Its excess energy over the best structure of this formula in the dataset is 68.6 meV/atom. The formation enthalpy at 0 K is 0.2218 eV per atom.

The structure belongs to space group Pm (No. 6); the cell edges are 2.706, 4.330 and 5.182 Å and the angles 90.00°, 96.39° and 90.00°. The distinct sites, in fractional coordinates, are Co at (0.000, 0.000, 0.000), Mo at (0.403, 0.000, 0.457), Mo at (0.593, 0.500, 0.173) and Au at (0.972, 0.500, 0.701).

(2)
The following is a DFT calculation (PBE-GGA) of crystalline Li2ScWN4 at its relaxed geometry.

For the total magnetization, the calculation gives 2.09 Bohr magnetons per cell. For the density of states at the Fermi level, the calculation gives 9.65 states/eV/cell. The raw formation energy is -679 meV per atom.

The structure belongs to space group I-4 (No. 82); the cell edges are 4.796, 4.796 and 9.422 Å and the angles 90.00°, 90.00° and 90.00°. The distinct sites, in fractional coordinates, are Li at (0.000, 0.000, 0.000), Li at (0.000, 0.500, 0.250), Sc at (0.000, 0.000, 0.500), W at (0.000, 0.500, 0.750) and N at (0.220, 0.270, 0.633).

(3)
The following is a DFT calculation (PBE-GGA) of crystalline Ga2HAu2 at its relaxed geometry.

For the total magnetization, the calculation gives 0.00 Bohr magnetons per cell. For the density of states at the Fermi level, the calculation gives 3.48 states/eV/cell. Its calculated total energy is -3.062 eV per atom.

The structure belongs to space group P4/mbm (No. 127); the cell edges are 5.630, 5.630 and 4.898 Å and the angles 90.00°, 90.00° and 90.00°. The distinct sites, in fractional coordinates, are Ga at (0.176, 0.324, 0.000), H at (0.000, 0.000, 0.000) and Au at (0.178, 0.678, 0.500).

(4)
The following is a DFT calculation (PBE-GGA) of crystalline BaCd2PtAu at its relaxed geometry.

For the total magnetization, the calculation gives 0.00 Bohr magnetons per cell. For the density of states at the Fermi level, the calculation gives 2.40 states/eV/cell. The formation enthalpy at 0 K is -0.3563 eV per atom.

The structure belongs to space group P4/mmm (No. 123); the cell edges are 5.197, 5.197 and 5.406 Å and the angles 90.00°, 90.00° and 90.00°. The distinct sites, in fractional coordinates, are Ba at (0.000, 0.000, 0.000), Cd at (0.000, 0.500, 0.500), Pt at (0.500, 0.500, 0.500) and Au at (0.500, 0.500, 0.000).

(5)
The following is a DFT calculation (PBE-GGA) of crystalline YSiIrCl2 at its relaxed geometry.

For the total magnetization, the calculation gives 0.00 Bohr magnetons per cell. For the density of states at the Fermi level, the calculation gives 1.15 states/eV/cell. The raw formation energy is -186 meV per atom. Its excess energy over the best structure of this formula in the dataset is 0.0 meV/atom.

The structure belongs to space group P4/mmm (No. 123); the cell edges are 4.720, 4.720 and 4.835 Å and the angles 90.00°, 90.00° and 90.00°. The distinct sites, in fractional coordinates, are Y at (0.000, 0.000, 0.000), Si at (0.500, 0.500, 0.500), Ir at (0.500, 0.500, 0.000) and Cl at (0.000, 0.500, 0.500).

(6)
The following is a DFT calculation (PBE-GGA) of crystalline Ta2BeW at its relaxed geometry.

For the total magnetization, the calculation gives 0.00 Bohr magnetons per cell. For the density of states at the Fermi level, the calculation gives 5.33 states/eV/cell. The formation enthalpy at 0 K is 0.1935 eV per atom.

The structure belongs to space group C2/m (No. 12); the cell edges are 5.559, 8.800 and 2.737 Å and the angles 90.00°, 107.16° and 90.00°. The distinct sites, in fractional coordinates, are Ta at (0.250, 0.250, 0.000), Be at (0.000, 0.000, 0.500) and W at (0.000, 0.500, 0.500).

(7)
The following is a DFT calculation (PBE-GGA) of crystalline SnIrOsSe2 at its relaxed geometry.

For the total magnetization, the calculation gives 0.00 Bohr magnetons per cell. For the density of states at the Fermi level, the calculation gives 5.80 states/eV/cell. The raw formation energy is 782 meV per atom.

The structure belongs to space group P4/mmm (No. 123); the cell edges are 4.887, 4.887 and 4.853 Å and the angles 90.00°, 90.00° and 90.00°. The distinct sites, in fractional coordinates, are Sn at (0.000, 0.000, 0.000), Ir at (0.500, 0.500, 0.000), Os at (0.500, 0.500, 0.500) and Se at (0.000, 0.500, 0.500).

(8)
The following is a DFT calculation (PBE-GGA) of crystalline CdRh3 at its relaxed geometry.

For the total magnetization, the calculation gives 0.00 Bohr magnetons per cell. For the density of states at the Fermi level, the calculation gives 7.79 states/eV/cell. The formation enthalpy at 0 K is 0.0278 eV per atom.

The structure belongs to space group C2/m (No. 12); the cell edges are 9.215, 2.807 and 4.860 Å and the angles 90.00°, 100.32° and 90.00°. The distinct sites, in fractional coordinates, are Cd at (0.000, 0.000, 0.000), Rh at (0.000, 0.500, 0.500) and Rh at (0.242, 0.000, 0.732).